Here is crystalline Sc2Hg at its relaxed geometry from Alexandria. Energies are from PBE.

The structure in extended XYZ format:
```
6
Lattice="1.772 -7.787 0.000 1.772 7.787 0.000 0.000 0.000 4.936" Properties=species:S:1:pos:R:3 pbc="T T T"
Sc 1.772 6.466 3.702
Sc 1.772 4.180 1.234
Sc 1.772 -4.180 3.702
Sc 1.772 -6.466 1.234
Hg 1.772 1.274 3.702
Hg 1.772 -1.274 1.234
```

Summary:
D(E_F) ... 7.5 states/eV/cell
Formation enthalpy at 0 K ... -0.296 eV/atom
Magnetization ... 0.00 μB/f.u.

***

Here is crystalline YNiRu at its relaxed geometry from Alexandria. Energies are from PBE.

The structure in extended XYZ format:
```
6
Lattice="4.168 -2.692 0.000 4.168 2.692 0.000 -1.503 0.000 4.746" Properties=species:S:1:pos:R:3 pbc="T T T"
Y 0.608 0.000 1.718
Y 6.224 0.000 3.028
Ni 2.084 1.346 0.000
Ni 2.084 -1.346 0.000
Ru 2.999 0.000 3.499
Ru 3.833 0.000 1.247
```

Summary:
D(E_F) ... 5.4 states/eV/cell
Formation enthalpy at 0 K ... -0.036 eV/atom
Magnetization ... 0.00 μB/f.u.

***

Here is crystalline Zr2BeZn at its relaxed geometry from Alexandria. Energies are from PBE.

The structure in extended XYZ format:
```
4
Lattice="1.663 0.960 7.830 -1.663 0.960 7.830 0.000 -1.921 7.830" Properties=species:S:1:pos:R:3 pbc="T T T"
Zr 0.000 0.000 5.643
Zr 0.000 0.000 17.848
Be 0.000 0.000 11.746
Zn 0.000 0.000 0.000
```

Summary:
ΔE to the lowest computed polymorph ... 0.2411 eV/atom
D(E_F) ... 2.5 states/eV/cell
Formation enthalpy at 0 K ... 0.065 eV/atom
Magnetization ... 0.00 μB/f.u.

***

Question: Number 2 is which compound?
Answer: YNiRu

***

Question: Look up the D(E_F) of the third one.
Answer: 2.5 states/eV/cell

***

Question: What is the formula in the first record?
Answer: Sc2Hg